(1)
Below is crystalline GdYGaPb at its relaxed geometry, with properties calculated at the PBE level.

Space-group type: F-43m
Formation enthalpy at 0 K (eV/f.u.): -1.86
Final energy (eV/atom): -7.284
DOS(E_F) (states/eV/f.u.): 2.6
Crystal system: cubic

Cell and atoms, written as POSCAR:
```
GdYGaPb
1.0
5.300 0.000 0.000
2.650 4.590 0.000
2.650 1.530 4.328
Pb Y Gd Ga
1 1 1 1
Direct
0.500 0.500 0.500
0.750 0.750 0.750
0.250 0.250 0.250
0.000 0.000 0.000
```

=====

(2)
Below is crystalline Mn2ZnAuN at its relaxed geometry, with properties calculated at the PBE level.

Space-group type: P4/mmm
Final energy (eV/atom): -6.325
DOS(E_F) (states/eV/f.u.): 2.9
Crystal system: tetragonal

Cell and atoms, written as POSCAR:
```
Mn2ZnAuN
1.0
-3.221 0.553 -2.199
-2.266 -0.926 3.086
-0.090 4.056 1.151
Zn Mn Au N
1 2 1 1
Direct
0.000 0.000 0.500
0.000 0.500 0.000
0.500 0.000 0.000
0.500 0.500 0.500
0.000 0.000 0.000
```

=====

(3)
Below is crystalline MgW2S at its relaxed geometry, with properties calculated at the PBE level.

Space-group type: Fm-3m
Final energy (eV/atom): -6.914
DOS(E_F) (states/eV/f.u.): 4.5
Crystal system: cubic

Cell and atoms, written as POSCAR:
```
MgW2S
1.0
-0.854 -1.982 3.859
-3.500 1.244 2.398
-3.489 -2.690 0.380
S Mg W
1 1 2
Direct
0.500 0.500 0.500
0.000 0.000 0.000
0.250 0.250 0.250
0.750 0.750 0.750
```

=====

(4)
Below is crystalline SrAc3Rh at its relaxed geometry, with properties calculated at the PBE level.

Space-group type: Pm-3m
Formation enthalpy at 0 K (eV/f.u.): -1.44
Final energy (eV/atom): -4.560
DOS(E_F) (states/eV/f.u.): 5.9
Crystal system: cubic

Cell and atoms, written as POSCAR:
```
SrAc3Rh
1.0
-5.388 -1.979 -1.647
2.557 -4.563 -2.880
-0.304 -3.304 4.965
Sr Ac Rh
1 3 1
Direct
0.500 0.500 0.500
0.000 0.500 0.000
0.000 0.000 0.500
0.500 0.000 0.000
0.000 0.000 0.000
```